(1)
The following is a DFT calculation (PBE-GGA) of a geometry-optimized TbSm2Tc structure.

a = 7.4430 Å, b = 9.4311 Å, c = 6.3837 Å
α = 90.00°, β = 90.00°, γ = 90.00°
Element x y z (fractional)
1 Tb 0.0458 0.2500 0.1341
2 Tb 0.4542 0.7500 0.6341
3 Tb 0.5458 0.2500 0.3659
4 Tb 0.9542 0.7500 0.8659
5 Sm 0.1773 0.0646 0.6647
6 Sm 0.1773 0.4354 0.6647
7 Sm 0.3227 0.5646 0.1647
8 Sm 0.3227 0.9354 0.1647
9 Sm 0.6773 0.0646 0.8353
10 Sm 0.6773 0.4354 0.8353
11 Sm 0.8227 0.5646 0.3353
12 Sm 0.8227 0.9354 0.3353
13 Tc 0.1105 0.7500 0.4640
14 Tc 0.3895 0.2500 0.9640
15 Tc 0.6105 0.7500 0.0360
16 Tc 0.8895 0.2500 0.5360

Calculated values
E_tot in eV/atom: -6.15
DOS(E_F) in states/eV/f.u.: 3.3
Space group: Pnma (62)
Size of the total moment in μB per cell: 0.00
Offset from the most stable computed form in meV/atom: 0
ΔE_f in meV/atom: -38
Calculated volume in Å³/cell: 448.10

---

(2)
The following is a DFT calculation (PBE-GGA) of a geometry-optimized PmErInPd structure.

a = 5.2059 Å, b = 5.2059 Å, c = 5.2059 Å
α = 60.00°, β = 60.00°, γ = 60.00°
Element x y z (fractional)
1 Pm 0.0000 0.0000 0.0000
2 Er 0.5000 0.5000 0.5000
3 In 0.7500 0.7500 0.7500
4 Pd 0.2500 0.2500 0.2500

Calculated values
E_tot in eV/atom: -4.89
DOS(E_F) in states/eV/f.u.: 3.5
Space group: F-43m (216)
Size of the total moment in μB per cell: 0.00
ΔE_f in meV/atom: -575
Calculated volume in Å³/cell: 99.76

---

(3)
The following is a DFT calculation (PBE-GGA) of a geometry-optimized RbTeO4 structure.

a = 7.6289 Å, b = 7.6289 Å, c = 5.4390 Å
α = 110.46°, β = 110.46°, γ = 41.52°
Element x y z (fractional)
1 Rb 0.2391 0.7609 0.7500
2 Rb 0.7609 0.2391 0.2500
3 Te 0.0000 0.5000 0.0000
4 Te 0.5000 0.0000 0.5000
5 O 0.1680 0.2965 0.2965
6 O 0.1770 0.6036 0.1465
7 O 0.2965 0.1680 0.7965
8 O 0.3964 0.8230 0.3535
9 O 0.6036 0.1770 0.6465
10 O 0.7035 0.8320 0.2035
11 O 0.8230 0.3964 0.8535
12 O 0.8320 0.7035 0.7035

Calculated values
E_tot in eV/atom: -4.95
DOS(E_F) in states/eV/f.u.: 1.6
Space group: C2/c (15)
ΔE_f (raw) in eV per atom: -0.96
Size of the total moment in μB per cell: 2.04
Calculated volume in Å³/cell: 194.64

---

(4)
The following is a DFT calculation (PBE-GGA) of a geometry-optimized Nd3Si2Ni4 structure.

a = 5.8293 Å, b = 5.8293 Å, c = 8.3572 Å
α = 110.67°, β = 110.67°, γ = 40.42°
Element x y z (fractional)
1 Nd 0.0000 0.0000 0.0000
2 Nd 0.3755 0.3755 0.3066
3 Nd 0.6245 0.6245 0.6934
4 Si 0.3453 0.3453 0.6976
5 Si 0.6547 0.6547 0.3024
6 Ni 0.1604 0.1604 0.4388
7 Ni 0.2792 0.2792 0.9364
8 Ni 0.7208 0.7208 0.0636
9 Ni 0.8396 0.8396 0.5612

Calculated values
E_tot in eV/atom: -5.95
DOS(E_F) in states/eV/f.u.: 7.2
Space group: C2/m (12)
ΔE_f (raw) in eV per atom: -0.58
Size of the total moment in μB per cell: 0.00
Calculated volume in Å³/cell: 170.59

---

(5)
The following is a DFT calculation (PBE-GGA) of a geometry-optimized Cr3RuRh structure.

a = 4.3618 Å, b = 4.3618 Å, c = 4.3618 Å
α = 90.00°, β = 90.00°, γ = 90.00°
Element x y z (fractional)
1 Cr 0.0000 0.0000 0.5000
2 Cr 0.0000 0.5000 0.0000
3 Cr 0.5000 0.0000 0.0000
4 Ru 0.0000 0.0000 0.0000
5 Rh 0.5000 0.5000 0.5000

Calculated values
E_tot in eV/atom: -7.55
DOS(E_F) in states/eV/f.u.: 8.0
Space group: Pm-3m (221)
Size of the total moment in μB per cell: 0.01
ΔE_f in meV/atom: 1546
Calculated volume in Å³/cell: 82.98

---

(6)
The following is a DFT calculation (PBE-GGA) of a geometry-optimized LiSm2GeS5 structure.

a = 8.5638 Å, b = 8.5638 Å, c = 11.1344 Å
α = 90.00°, β = 90.00°, γ = 152.80°
Element x y z (fractional)
1 Li 0.2150 0.7850 0.5000
2 Li 0.7850 0.2150 0.0000
3 Sm 0.1215 0.8785 0.1616
4 Sm 0.1332 0.8668 0.7850
5 Sm 0.8668 0.1332 0.2850
6 Sm 0.8785 0.1215 0.6616
7 Ge 0.4340 0.5660 0.9420
8 Ge 0.5660 0.4340 0.4420
9 S 0.0455 0.9545 0.5403
10 S 0.2923 0.7077 0.1494
11 S 0.3152 0.6848 0.8312
12 S 0.3598 0.6402 0.4800
13 S 0.4998 0.5002 0.2580
14 S 0.5002 0.4998 0.7580
15 S 0.6402 0.3598 0.9800
16 S 0.6848 0.3152 0.3312
17 S 0.7077 0.2923 0.6494
18 S 0.9545 0.0455 0.0403

Calculated values
E_tot in eV/atom: -5.47
DOS(E_F) in states/eV/f.u.: 0.8
Space group: Cmc2_1 (36)
ΔE_f (raw) in eV per atom: -1.41
Size of the total moment in μB per cell: 0.00
Calculated volume in Å³/cell: 373.26

---

(7)
The following is a DFT calculation (PBE-GGA) of a geometry-optimized NaEuInIr structure.

a = 4.9735 Å, b = 4.9735 Å, c = 4.9735 Å
α = 60.00°, β = 60.00°, γ = 60.00°
Element x y z (fractional)
1 Na 0.0000 0.0000 0.0000
2 Eu 0.7500 0.7500 0.7500
3 In 0.2500 0.2500 0.2500
4 Ir 0.5000 0.5000 0.5000

Calculated values
E_tot in eV/atom: -5.94
DOS(E_F) in states/eV/f.u.: 3.5
Space group: F-43m (216)
Size of the total moment in μB per cell: 6.97
ΔE_f in meV/atom: -142
Calculated volume in Å³/cell: 86.99

---

(8)
The following is a DFT calculation (PBE-GGA) of a geometry-optimized BaLiMg11 structure.

a = 8.0604 Å, b = 8.0604 Å, c = 8.0126 Å
α = 96.96°, β = 96.96°, γ = 137.90°
Element x y z (fractional)
1 Ba 0.0000 0.0000 0.0000
2 Li 0.5000 0.5000 0.5000
3 Mg 0.0000 0.0000 0.5000
4 Mg 0.0000 0.5000 0.0000
5 Mg 0.0060 0.6499 0.6424
6 Mg 0.2861 0.5049 0.7729
7 Mg 0.3501 0.9940 0.3576
8 Mg 0.4951 0.7139 0.2271
9 Mg 0.5000 0.0000 0.0000
10 Mg 0.5049 0.2861 0.7729
11 Mg 0.6499 0.0060 0.6424
12 Mg 0.7139 0.4951 0.2271
13 Mg 0.9940 0.3501 0.3576

Calculated values
E_tot in eV/atom: -1.69
DOS(E_F) in states/eV/f.u.: 5.3
Space group: C2/m (12)
Size of the total moment in μB per cell: 0.00
ΔE_f in meV/atom: -48
Calculated volume in Å³/cell: 328.50